1.
# Zr2Be2F, optimized geometry, DFT PBE-GGA
data_Zr2Be2F
_chemical_formula_sum 'Zr4 Be4 F2'
_symmetry_space_group_name_H-M 'P 4/m b m'
_symmetry_Int_Tables_number 127
_symmetry_space_group_name_Hall '-P 4 2ab'
_cell_length_a 7.1373
_cell_length_b 7.1373
_cell_length_c 3.0495
_cell_angle_alpha 90.00
_cell_angle_beta 90.00
_cell_angle_gamma 90.00
loop_
_atom_site_label
_atom_site_fract_x
_atom_site_fract_y
_atom_site_fract_z
_atom_site_occupancy
Zr1 0.1884 0.3116 0.0000 1
Be1 0.0985 0.5985 0.5000 1
F1 0.0000 0.0000 0.5000 1
# Total DFT energy (no corrections), Ha/atom: -0.2013
# Energy relative to the elements, uncorrected, meV per atom: -193

***

2.
# Be2Fe, optimized geometry, DFT PBE-GGA
data_Be2Fe
_chemical_formula_sum 'Be8 Fe4'
_symmetry_space_group_name_H-M 'C 1 2/m 1'
_symmetry_Int_Tables_number 12
_cell_length_a 8.0212
_cell_length_b 2.6852
_cell_length_c 5.0296
_cell_angle_alpha 90.00
_cell_angle_beta 107.96
_cell_angle_gamma 90.00
loop_
_symmetry_equiv_pos_as_xyz
'x,y,z'
'-x,-y,-z'
'-x,y,-z'
'x,-y,z'
'x+1/2,y+1/2,z'
'-x+1/2,-y+1/2,-z'
'-x+1/2,y+1/2,-z'
'x+1/2,-y+1/2,z'
loop_
_atom_site_label
_atom_site_fract_x
_atom_site_fract_y
_atom_site_fract_z
_atom_site_occupancy
Be1 0.0000 0.0000 0.0000 1
Be2 0.0000 0.0000 0.5000 1
Be3 0.1665 0.5000 0.3349 1
Fe1 0.1597 0.5000 0.8233 1
# Energy relative to the elements, eV per atom: -0.13
# Relative energy among the computed polymorphs, meV per atom: 157
# Total DFT energy (no corrections), Ha/atom: -0.1997

***

3.
# Be2Fe, optimized geometry, DFT PBE-GGA
data_Be2Fe
_chemical_formula_sum 'Be8 Fe4'
_symmetry_space_group_name_H-M 'F m -3 m'
_symmetry_Int_Tables_number 225
_symmetry_space_group_name_Hall '-F 4 2 3'
_cell_length_a 5.0998
_cell_length_b 5.0998
_cell_length_c 5.0998
_cell_angle_alpha 90.00
_cell_angle_beta 90.00
_cell_angle_gamma 90.00
loop_
_atom_site_label
_atom_site_fract_x
_atom_site_fract_y
_atom_site_fract_z
_atom_site_occupancy
Be1 0.2500 0.2500 0.2500 1
Fe1 0.0000 0.0000 0.0000 1
# Energy relative to the elements, eV per atom: 0.60
# Relative energy among the computed polymorphs, meV per atom: 886
# Total DFT energy (no corrections), Ha/atom: -0.1729

***

4.
# BeFe3, optimized geometry, DFT PBE-GGA
data_BeFe3
_chemical_formula_sum 'Be1 Fe3'
_symmetry_space_group_name_H-M 'P -6 m 2'
_symmetry_Int_Tables_number 187
_symmetry_space_group_name_Hall 'P -6 2'
_cell_length_a 2.4466
_cell_length_b 2.4466
_cell_length_c 7.5583
_cell_angle_alpha 90.00
_cell_angle_beta 90.00
_cell_angle_gamma 120.00
loop_
_atom_site_label
_atom_site_fract_x
_atom_site_fract_y
_atom_site_fract_z
_atom_site_occupancy
Be1 0.0000 0.0000 0.0000 1
Fe1 0.0000 0.0000 0.5000 1
Fe2 0.6667 0.3333 0.2459 1
# Energy relative to the elements, eV per atom: 0.03
# Total DFT energy (no corrections), Ha/atom: -0.2664